[1]
An optimized crystal structure of CdSb2Te, computed with GGA-PBEsol.

The structure in POSCAR format:
```
CdSb2Te
1.0
-2.156 2.156 5.709
2.156 -2.156 5.709
2.156 2.156 -5.709
Cd Sb Te
1 2 1
Direct
0.000 0.000 0.000
0.250 0.750 0.500
0.750 0.250 0.500
0.500 0.500 0.000
```

Properties
E_tot ... -3.29 eV/atom
Calculated volume ... 106 Å³ per cell
Fermi-level density of states ... 0.51 states/eV per atom
Energy relative to the elements, uncorrected ... 0.1723 eV/atom

---

[2]
An optimized crystal structure of ZrCdSb2Te, computed with GGA-PBEsol.

The structure in POSCAR format:
```
ZrCdSb2Te
1.0
5.511 0.000 0.000
0.000 5.511 0.000
0.000 0.000 5.436
Zr Cd Sb Te
1 1 2 1
Direct
0.000 0.000 0.000
0.500 0.500 0.500
0.000 0.500 0.000
0.500 0.000 0.000
0.000 0.000 0.500
```

Properties
E_tot ... -4.39 eV/atom
Calculated volume ... 165 Å³ per cell
Fermi-level density of states ... 0.93 states/eV per atom
Energy relative to the elements, uncorrected ... 0.1960 eV/atom

---

[3]
An optimized crystal structure of TiCd3Sb, computed with GGA-PBEsol.

The structure in POSCAR format:
```
TiCd3Sb
1.0
5.411 0.000 0.000
0.000 5.411 0.000
0.000 0.000 5.411
Ti Cd Sb
1 3 1
Direct
0.000 0.000 0.000
0.000 0.500 0.500
0.500 0.000 0.500
0.500 0.500 0.000
0.500 0.500 0.500
```

Properties
E_tot ... -2.25 eV/atom
Calculated volume ... 158 Å³ per cell
Fermi-level density of states ... 1.66 states/eV per atom
Energy relative to the elements, uncorrected ... 1.0456 eV/atom

---

[4]
An optimized crystal structure of TlCdSb2, computed with GGA-PBEsol.

The structure in POSCAR format:
```
TlCdSb2
1.0
3.436 0.000 0.000
0.000 4.375 0.000
0.000 0.000 7.110
Tl Cd Sb
1 1 2
Direct
0.000 0.000 0.000
0.000 0.000 0.500
0.500 0.500 0.289
0.500 0.500 0.711
```

Properties
E_tot ... -3.15 eV/atom
Calculated volume ... 107 Å³ per cell
Fermi-level density of states ... 0.40 states/eV per atom
Energy relative to the elements, uncorrected ... 0.0836 eV/atom

---

[5]
An optimized crystal structure of TlCd3Sb, computed with GGA-PBEsol.

The structure in POSCAR format:
```
TlCd3Sb
1.0
5.358 0.000 0.000
0.000 5.358 0.000
0.000 0.000 5.358
Tl Cd Sb
1 3 1
Direct
0.000 0.000 0.000
0.000 0.000 0.500
0.000 0.500 0.000
0.500 0.000 0.000
0.500 0.500 0.500
```

Properties
E_tot ... -1.53 eV/atom
Calculated volume ... 154 Å³ per cell
Fermi-level density of states ... 0.82 states/eV per atom
Energy relative to the elements, uncorrected ... 0.6288 eV/atom

---

[6]
An optimized crystal structure of TlCd2Sb, computed with GGA-PBEsol.

The structure in POSCAR format:
```
TlCd2Sb
1.0
-1.595 2.745 5.709
1.595 -2.745 5.709
1.595 2.745 -5.709
Tl Cd Sb
1 2 1
Direct
0.000 0.000 0.000
0.273 0.773 0.500
0.495 0.495 0.000
0.728 0.228 0.500
```

Properties
E_tot ... -2.30 eV/atom
Calculated volume ... 100 Å³ per cell
Fermi-level density of states ... 0.49 states/eV per atom
Energy relative to the elements, uncorrected ... 0.0933 eV/atom

---

[7]
An optimized crystal structure of TlCdSb, computed with GGA-PBEsol.

The structure in POSCAR format:
```
TlCdSb
1.0
0.000 3.541 3.541
3.541 0.000 3.541
3.541 3.541 0.000
Tl Cd Sb
1 1 1
Direct
0.000 0.000 0.000
0.250 0.250 0.250
0.750 0.750 0.750
```

Properties
E_tot ... -2.53 eV/atom
Calculated volume ... 89 Å³ per cell
Fermi-level density of states ... 0.34 states/eV per atom
Energy relative to the elements, uncorrected ... 0.2602 eV/atom

---

[8]
An optimized crystal structure of TlCdSb, computed with GGA-PBEsol.

The structure in POSCAR format:
```
TlCdSb
1.0
8.058 0.000 0.000
0.000 4.909 0.000
0.000 0.000 8.391
Tl Cd Sb
4 4 4
Direct
0.001 0.250 0.183
0.499 0.750 0.683
0.501 0.250 0.317
0.999 0.750 0.817
0.161 0.250 0.588
0.339 0.750 0.088
0.661 0.250 0.912
0.839 0.750 0.412
0.209 0.750 0.408
0.291 0.250 0.908
0.709 0.750 0.092
0.791 0.250 0.592
```

Properties
E_tot ... -2.85 eV/atom
Calculated volume ... 332 Å³ per cell
Fermi-level density of states ... 0.05 states/eV per atom
Energy relative to the elements, uncorrected ... -0.0541 eV/atom